Below is crystalline Sr3HgOs at its relaxed geometry, with properties calculated at the GGA-PBE level.

abc: 5.7780 5.7780 5.7780
angles: 90.00 90.00 90.00
Last column: nearest neighbours and their distance in Å.
Space group Pm-3m (No. 221)
Unique sites:
Sr1 0.0000 0.0000 0.5000  2 Os 2.89
Hg1 0.5000 0.5000 0.5000  12 Sr 4.09
Os1 0.0000 0.0000 0.0000  6 Sr 2.89

Calculated values
For the size of the total moment, the calculation gives 0.00 μB per atom. As for the crystal system: cubic. For the excess energy over the best structure of this formula in the dataset, the calculation gives 0.0 meV/atom.

Below is crystalline Rb2Cd3Sn2 at its relaxed geometry, with properties calculated at the GGA-PBE level.

abc: 13.2649 4.9766 8.1476
angles: 90.00 122.12 90.00
Last column: nearest neighbours and their distance in Å.
Space group C2/m (No. 12)
Unique sites:
Rb1 0.1620 0.0000 0.2918  5 Cd 3.54-3.86, 3 Sn 3.75-3.84, 2 Rb 3.84
Cd1 0.0000 0.5000 0.5000  2 Cd 3.09, 4 Sn 3.15
Cd2 0.0913 0.5000 0.9372  3 Sn 3.08-3.10, 2 Cd 3.09
Sn1 0.1369 0.0000 0.7629  5 Cd 3.08-3.15

Calculated values
For the size of the total moment, the calculation gives 0.00 μB per atom. As for the crystal system: monoclinic.

Below is crystalline Al3Tc4W2 at its relaxed geometry, with properties calculated at the GGA-PBE level.

abc: 4.3713 4.3713 8.0372
angles: 90.00 90.00 120.00
Last column: nearest neighbours and their distance in Å.
Space group P-3m1 (No. 164)
Unique sites:
Al1 0.0000 0.0000 0.0000  8 Tc 2.68-2.76
Al2 0.3333 0.6667 0.5615  4 Tc 2.63-2.64, 3 Al 2.71, 1 W 2.77
Tc1 0.0000 0.0000 0.3435  1 Tc 2.52, 4 Al 2.64-2.76, 3 W 2.72
Tc2 0.3333 0.6667 0.8892  4 W 2.63-2.66, 4 Al 2.63-2.68
W1 0.3333 0.6667 0.2164  7 Tc 2.63-2.72, 1 Al 2.77

Calculated values
For the size of the total moment, the calculation gives 0.00 μB per atom. As for the crystal system: trigonal.

Below is crystalline Ag2PdPt at its relaxed geometry, with properties calculated at the GGA-PBE level.

abc: 2.8261 2.8261 28.5995
angles: 90.00 90.00 120.00
Last column: nearest neighbours and their distance in Å.
Space group R3m (No. 160, hexagonal axes)
Unique sites:
Ag1 0.0000 0.0000 0.0000  6 Ag 2.83, 3 Pd 2.86, 3 Pt 2.91
Ag2 0.0000 0.0000 0.1686  6 Ag 2.83, 3 Pd 2.87, 3 Pt 2.92
Pd1 0.0000 0.0000 0.5844  6 Pd 2.83, 6 Ag 2.86-2.87
Pt1 0.0000 0.0000 0.4174  6 Pt 2.83, 6 Ag 2.91-2.92

Calculated values
For the size of the total moment, the calculation gives 0.00 μB per atom. As for the crystal system: trigonal. For the excess energy over the best structure of this formula in the dataset, the calculation gives 4.7 meV/atom.

Below is crystalline Rb2InHgAu at its relaxed geometry, with properties calculated at the GGA-PBE level.

abc: 6.7560 6.7560 5.3284
angles: 90.00 90.00 90.00
Last column: nearest neighbours and their distance in Å.
Space group P4/mmm (No. 123)
Unique sites:
Rb1 0.0000 0.5000 0.0000  2 Au 3.38
In1 0.0000 0.0000 0.5000  2 Au 2.66
Hg1 0.5000 0.5000 0.5000  8 Rb 4.30, 4 In 4.78
Au1 0.0000 0.0000 0.0000  2 In 2.66

Calculated values
For the size of the total moment, the calculation gives 0.03 μB per atom. As for the crystal system: tetragonal. For the excess energy over the best structure of this formula in the dataset, the calculation gives 75.4 meV/atom.

Below is crystalline CaPaGaPt at its relaxed geometry, with properties calculated at the GGA-PBE level.

abc: 7.0915 7.0915 7.0915
angles: 90.00 90.00 90.00
Last column: nearest neighbours and their distance in Å.
Space group F-43m (No. 216)
Unique sites:
Ca1 0.0000 0.0000 0.0000  4 Ga 3.07, 4 Pt 3.07
Pa1 0.0000 0.0000 0.5000  4 Pt 3.07, 4 Ga 3.07
Ga1 0.2500 0.2500 0.2500  4 Pa 3.07, 4 Ca 3.07
Pt1 0.2500 0.2500 0.7500  4 Ca 3.07, 4 Pa 3.07

Calculated values
For the size of the total moment, the calculation gives 0.00 μB per atom. As for the crystal system: cubic.

| no. | formation enthalpy at 0 K (meV/atom) | uncorrected energy (eV/atom) | ρ (g cm⁻³) |
| --- | --- | --- | --- |
| 1 | 303 | -3.01 | 5.6 |
| 2 | -96 | -1.91 | 5.4 |
| 3 | -295 | -9.03 | 10.5 |
| 4 | -28 | -4.26 | 13.0 |
| 5 | -121 | -1.77 | 4.7 |
| 6 | -496 | -5.64 | 10.0 |